First-principles (PBE) data for crystalline Li8Tl2Sn3 at its relaxed geometry, as listed in Alexandria via LeMat-Bulk.

Lattice parameters (Å, degrees): 5.6568 5.6568 29.9202 90.00 90.00 120.00
Space group R-3m (No. 166, hexagonal axes)
One atom of each set of equivalent atoms:
Li 0.0000 0.0000 0.2252 (multiplicity 6)
Li 0.0043 0.5022 0.2752 (multiplicity 18)
Tl 0.0000 0.0000 0.1358 (multiplicity 6)
Sn 0.0000 0.0000 0.3161 (multiplicity 6)
Sn 0.0000 0.0000 0.5000 (multiplicity 3)

Computed properties:
As for the calculated formation energy: -0.18 eV/atom.